# Ac2Mg4CdGa3

A relaxed structure of Ac2Mg4CdGa3 (GGA-PBE, Alexandria via LeMat-Bulk).

Output
E_form, kJ/mol of formula units: -325
Space-group type: P-4m2 (115)

Cell and atoms, written as POSCAR:
```
Ac2Mg4CdGa3
1.0
4.6672 0.0000 0.0000
0.0000 4.6672 0.0000
0.0000 0.0000 11.5401
Mg Ga Ac Cd
4 3 2 1
direct
0.0000 0.0000 0.0000
0.5000 0.0000 0.6329
0.5000 0.5000 0.0000
0.0000 0.5000 0.3671
0.0000 0.5000 0.1363
0.0000 0.0000 0.5000
0.5000 0.0000 0.8637
0.5000 0.0000 0.2478
0.0000 0.5000 0.7522
0.5000 0.5000 0.5000
```



# Ac2MgCd4Ga3

A relaxed structure of Ac2MgCd4Ga3 (GGA-PBE, Alexandria via LeMat-Bulk).

Output
E_form, kJ/mol of formula units: -349
Space-group type: P-4m2 (115)

Cell and atoms, written as POSCAR:
```
Ac2MgCd4Ga3
1.0
-0.5002 -0.6410 4.5498
-1.9532 -4.1129 -0.7942
10.5036 -5.0732 0.4400
Cd Ga Ac Mg
4 3 2 1
direct
0.5000 0.5000 0.0000
0.0000 0.5000 0.3633
0.5000 0.0000 0.6367
0.0000 0.0000 0.0000
0.0000 0.5000 0.1360
0.0000 0.0000 0.5000
0.5000 0.0000 0.8640
0.5000 0.0000 0.2403
0.0000 0.5000 0.7597
0.5000 0.5000 0.5000
```



# NaAcCdGa

A relaxed structure of NaAcCdGa (GGA-PBE, Alexandria via LeMat-Bulk).

Output
E_form, kJ/mol of formula units: -86
Space-group type: F-43m (216)

Cell and atoms, written as POSCAR:
```
NaAcCdGa
1.0
-5.2074 0.8327 -1.3407
-1.9795 -2.0582 -4.6318
-3.5421 -4.1278 0.1518
Na Cd Ac Ga
1 1 1 1
direct
0.0000 0.0000 0.0000
0.2500 0.2500 0.2500
0.5000 0.5000 0.5000
0.7500 0.7500 0.7500
```



# Ac2CdGaO6

A relaxed structure of Ac2CdGaO6 (GGA-PBE, Alexandria via LeMat-Bulk).

Output
Formation energy (no corrections), meV/atom: -2221.2
Space-group type: P4mm (99)

Cell and atoms, written as POSCAR:
```
Ac2CdGaO6
1.0
-3.0780 -3.6141 1.7482
4.2468 -2.3025 2.7170
-1.1454 3.1206 4.4349
Ga O Ac Cd
1 6 2 1
direct
0.5802 0.0000 0.0000
0.2115 0.0000 0.0000
0.1408 0.5000 0.5000
0.7186 0.7666 0.7666
0.7186 0.7666 0.2334
0.7186 0.2334 0.2334
0.7186 0.2334 0.7666
0.0327 0.5000 0.0000
0.0327 0.0000 0.5000
0.5744 0.5000 0.5000
```



# Ac3CdGa2Pd9

A relaxed structure of Ac3CdGa2Pd9 (GGA-PBE, Alexandria via LeMat-Bulk).

Output
E_form, kJ/mol of formula units: -883
Space-group type: P-3m1 (164)

Cell and atoms, written as POSCAR:
```
Ac3CdGa2Pd9
1.0
5.9993 0.0000 0.0000
-2.9997 5.1956 0.0000
0.0000 0.0000 11.3298
Ga Cd Pd Ac
2 1 9 3
direct
0.6667 0.3333 0.8403
0.3333 0.6667 0.1597
0.0000 0.0000 0.5000
0.5000 0.0000 0.0000
0.1563 0.3127 0.3021
0.5000 0.5000 0.0000
0.1563 0.8437 0.3021
0.6873 0.8437 0.3021
0.0000 0.5000 0.0000
0.3127 0.1563 0.6979
0.8437 0.1563 0.6979
0.8437 0.6873 0.6979
0.6667 0.3333 0.2804
0.3333 0.6667 0.7196
0.0000 0.0000 0.0000
```



# Ac3Cd2GaPd9

A relaxed structure of Ac3Cd2GaPd9 (GGA-PBE, Alexandria via LeMat-Bulk).

Output
E_form, kJ/mol of formula units: -526
Space-group type: P-3m1 (164)

Cell and atoms, written as POSCAR:
```
Ac3Cd2GaPd9
1.0
7.6948 0.0000 0.0000
-3.8474 6.6639 0.0000
0.0000 0.0000 6.9367
Ga Cd Pd Ac
1 2 9 3
direct
0.0000 0.0000 0.5000
0.3333 0.6667 0.1893
0.6667 0.3333 0.8107
0.0000 0.5000 0.0000
0.8441 0.1559 0.6663
0.3118 0.1559 0.6663
0.8441 0.6882 0.6663
0.5000 0.5000 0.0000
0.1559 0.8441 0.3337
0.6882 0.8441 0.3337
0.1559 0.3118 0.3337
0.5000 0.0000 0.0000
0.0000 0.0000 0.0000
0.3333 0.6667 0.6789
0.6667 0.3333 0.3211
```